Below is a relaxed Pr4ScHg crystal, with properties calculated at the PBE level.

## Properties
Calculated formation energy in eV/atom: 0.232
Energy relative to the lowest polymorph listed for this composition in eV/atom: 0.356
DFT total energy in Ha/atom: -0.14920
Space group: P4/mmm, No. 123

Geometry as POSCAR:
```
Pr4ScHg
1.0
-3.931 3.634 0.482
0.041 -0.663 5.335
5.098 5.432 0.636
Pr Sc Hg
4 1 1
Cartesian
-0.653 2.520 5.720 Pr
1.873 5.213 6.038 Pr
3.818 3.727 3.129 Pr
1.293 1.035 2.812 Pr
3.139 6.914 3.530 Sc
2.576 2.050 5.638 Hg
```